Entry 1:
A plane-wave DFT calculation with PBE was carried out for MgTaMo2H after structural relaxation.

Properties
- Fermi-level density of states: 5.5 states/eV per cell
- SG: P4/mmm (123)

Cell: 5.045 3.312 5.045 Å, 90.00 90.00 90.00°
Atoms (fractional coordinates):
H 0.000 0.500 0.000
Mo 0.000 0.000 0.500
Mo 0.500 0.000 0.000
Mg 0.500 0.500 0.500
Ta 0.000 0.000 0.000

***

Entry 2:
A plane-wave DFT calculation with PBE was carried out for ZrRuIO2 after structural relaxation.

Properties
- Fermi-level density of states: 5.9 states/eV per cell
- SG: P4/mmm (123)
- Energy relative to the elements, uncorrected: -0.028 eV per atom

Cell: 3.968 3.968 5.595 Å, 90.00 90.00 90.00°
Atoms (fractional coordinates):
I 0.000 0.000 0.500
Ru 0.000 0.000 0.000
O 0.000 0.500 0.000
O 0.500 0.000 0.000
Zr 0.500 0.500 0.500

***

Calculated raw total energy in order - -6.5533 -5.8861 eV/atom